Here is an optimized crystal structure of TaFeTc2B from Alexandria. Energies are from PBE.

Lattice parameters (Å, degrees): 4.738 4.530 4.738 90.00 90.00 90.00
Fractional positions:
Fe 0.000 0.500 0.000
B 0.500 0.500 0.500
Tc 0.000 0.000 0.500
Tc 0.500 0.000 0.000
Ta 0.000 0.000 0.000

Computed properties:
- Offset from the most stable computed form: 1291 kJ/mol of formula units
- Formation energy: 2515 meV/atom
- Density: 7.245 g cm⁻³
- DOS(E_F): 1.11 states/eV/atom